TbTm4Th2 | PBE | optimized geometry

Geometry as POSCAR:
```
TbTm4Th2
1.0
8.294 0.000 0.000
0.000 8.294 0.000
0.000 0.000 6.686
Tb Tm Th
2 8 4
direct
0.000 0.000 0.000
0.500 0.500 0.500
0.202 0.202 0.500
0.202 0.798 0.500
0.298 0.298 0.000
0.298 0.702 0.000
0.702 0.298 0.000
0.702 0.702 0.000
0.798 0.202 0.500
0.798 0.798 0.500
0.000 0.500 0.250
0.000 0.500 0.750
0.500 0.000 0.250
0.500 0.000 0.750
```

Output
Energy above the lowest structure with this stoichiometry = 151 meV per atom
Energy relative to the elements = 0.267 eV/atom



Tb4Tm4Th3 | PBE | optimized geometry

Geometry as POSCAR:
```
Tb4Tm4Th3
1.0
10.577 0.000 0.000
0.000 2.803 5.956
0.000 -2.803 5.956
Tb Tm Th
4 4 3
direct
0.000 0.000 0.000
0.216 0.792 0.792
0.500 0.936 0.936
0.784 0.792 0.792
0.000 0.607 0.607
0.297 0.155 0.155
0.500 0.657 0.657
0.703 0.155 0.155
0.000 0.305 0.305
0.285 0.454 0.454
0.715 0.454 0.454
```

Output
Energy above the lowest structure with this stoichiometry = 113 meV per atom
Energy relative to the elements = 0.168 eV/atom



Tb3Tm2Th2 | PBE | optimized geometry

Geometry as POSCAR:
```
Tb3Tm2Th2
1.0
11.235 0.000 0.000
0.000 5.022 0.000
-1.112 0.000 7.855
Tb Tm Th
6 4 4
direct
0.000 0.000 0.000
0.214 0.500 0.149
0.286 0.000 0.851
0.500 0.500 0.000
0.714 0.000 0.149
0.786 0.500 0.851
0.070 0.500 0.708
0.430 0.000 0.292
0.570 0.000 0.708
0.930 0.500 0.292
0.142 0.000 0.431
0.358 0.500 0.569
0.642 0.500 0.431
0.858 0.000 0.569
```

Output
Energy above the lowest structure with this stoichiometry = 6 meV per atom
Energy relative to the elements = 0.034 eV/atom